# 1
The following is a GGA-PBE calculation of crystalline BaSnRu2O8 at its relaxed geometry, from Alexandria.

Lattice parameters (Å, degrees): 5.513 5.513 7.692 90.00 90.00 120.00
Last column: magnetic moment on the atom in μB.
Fractional positions:
1 O 0.268 0.955 0.677  0.06
2 O 0.045 0.313 0.677  0.06
3 O 0.687 0.732 0.677  0.06
4 Ru 0.333 0.667 0.738  0.59
5 O 0.732 0.045 0.323  0.06
6 Ba 0.000 0.000 0.000  0.01
7 Sn 0.000 0.000 0.500  -0.01
8 Ru 0.667 0.333 0.262  0.59
9 O 0.313 0.268 0.323  0.06
10 O 0.667 0.333 0.029  0.15
11 O 0.955 0.687 0.323  0.06
12 O 0.333 0.667 0.971  0.15

Output
Crystal system: trigonal
Space group: P-3
Formation energy from raw total energies in meV/atom: -1197
Total moment in μB per cell: 2.0
N(E_F) in states/eV per atom: 0.6178
Calculated total energy in eV/atom: -6.5422

***

# 2
The following is a GGA-PBE calculation of crystalline Sc2H8Ru3 at its relaxed geometry, from Alexandria.

Lattice parameters (Å, degrees): 4.799 5.527 5.382 120.90 110.58 90.00
Fractional positions:
1 H 0.603 0.079 0.754
2 H 0.397 0.325 0.246
3 H 0.092 0.891 0.783
4 H 0.397 0.921 0.246
5 H 0.923 0.363 0.725
6 Sc 0.673 0.692 0.384
7 Sc 0.327 0.308 0.616
8 Ru 0.000 0.745 0.000
9 Ru 0.000 0.255 0.000
10 H 0.077 0.637 0.275
11 H 0.603 0.675 0.754
12 Ru 0.500 0.000 0.000
13 H 0.908 0.109 0.217

Output
Crystal system: monoclinic
Space group: C2/m
Total moment in μB per cell: 0.0
N(E_F) in states/eV per atom: 0.3275
Calculated total energy in eV/atom: -5.4252

***

# 3
The following is a GGA-PBE calculation of crystalline YRhW2 at its relaxed geometry, from Alexandria.

Lattice parameters (Å, degrees): 9.771 9.771 9.771 17.26 17.26 17.26
Fractional positions:
1 W 0.004 0.004 0.004
2 Rh 0.743 0.743 0.743
3 W 0.256 0.256 0.256
4 Y 0.497 0.497 0.497

Output
Crystal system: trigonal
ΔH_f (0 K) in kJ per mole of atoms: 40.3
Space group: R3m
Total moment in μB per cell: 0.0
N(E_F) in states/eV per atom: 1.2842
Calculated total energy in eV/atom: -9.5130

***

# 4
The following is a GGA-PBE calculation of crystalline NiHBr at its relaxed geometry, from Alexandria.

Lattice parameters (Å, degrees): 4.992 4.398 8.236 90.00 90.00 90.00
Fractional positions:
1 Ni 0.410 0.250 0.088
2 Ni 0.910 0.750 0.912
3 Br 0.160 0.001 0.296
4 H 0.159 0.530 0.033
5 Br 0.660 0.499 0.296
6 Ni 0.910 0.250 0.088
7 Br 0.660 0.999 0.704
8 H 0.659 0.970 0.033
9 H 0.659 0.470 0.967
10 H 0.159 0.030 0.967
11 Ni 0.410 0.750 0.912
12 Br 0.160 0.501 0.704

Output
Crystal system: orthorhombic
Space group: Pbcm
Total moment in μB per cell: 0.0
N(E_F) in states/eV per atom: 0.7141
Calculated total energy in eV/atom: -3.5997

***

# 5
The following is a GGA-PBE calculation of crystalline Os3PdC at its relaxed geometry, from Alexandria.

Lattice parameters (Å, degrees): 4.057 4.057 4.057 90.00 90.00 90.00
Fractional positions:
1 Os 0.000 0.000 0.500
2 Os 0.000 0.500 0.000
3 C 0.000 0.000 0.000
4 Os 0.500 0.000 0.000
5 Pd 0.500 0.500 0.500

Output
Crystal system: cubic
ΔH_f (0 K) in kJ per mole of atoms: 57.2
Space group: Pm-3m
Total moment in μB per cell: 0.0
N(E_F) in states/eV per atom: 0.6234
Calculated total energy in eV/atom: -9.0283

***

# 6
The following is a GGA-PBE calculation of crystalline Nd7HoTm12 at its relaxed geometry, from Alexandria.

Lattice parameters (Å, degrees): 9.708 9.708 9.708 109.47 109.47 109.47
Fractional positions:
1 Nd 0.500 0.000 0.000
2 Tm 0.755 0.755 0.509
3 Tm 0.245 0.000 0.755
4 Tm 0.755 0.000 0.245
5 Tm 0.000 0.755 0.245
6 Tm 0.245 0.491 0.245
7 Tm 0.245 0.755 0.000
8 Tm 0.491 0.245 0.245
9 Nd 0.500 0.500 0.500
10 Tm 0.245 0.245 0.491
11 Nd 0.500 0.500 0.000
12 Nd 0.500 0.000 0.500
13 Ho 0.000 0.000 0.000
14 Nd 0.000 0.500 0.000
15 Tm 0.755 0.245 0.000
16 Tm 0.509 0.755 0.755
17 Nd 0.000 0.000 0.500
18 Nd 0.000 0.500 0.500
19 Tm 0.000 0.245 0.755
20 Tm 0.755 0.509 0.755

Output
Crystal system: cubic
ΔH_f (0 K) in kJ per mole of atoms: 64.1
Space group: Im-3m
Total moment in μB per cell: 0.0
N(E_F) in states/eV per atom: 1.4198
Calculated total energy in eV/atom: -3.9166

***

# 7
The following is a GGA-PBE calculation of crystalline Na15Tl2In2 at its relaxed geometry, from Alexandria.

Lattice parameters (Å, degrees): 9.260 9.260 9.260 64.35 64.35 64.35
Fractional positions:
1 Na 0.565 0.565 0.194
2 Na 0.000 0.500 0.000
3 In 0.299 0.299 0.299
4 Na 0.307 0.000 0.693
5 Na 0.194 0.565 0.565
6 Na 0.000 0.000 0.500
7 Tl 0.082 0.082 0.082
8 Tl 0.918 0.918 0.918
9 Na 0.693 0.307 0.000
10 Na 0.307 0.693 0.000
11 Na 0.806 0.435 0.435
12 Na 0.000 0.307 0.693
13 Na 0.693 0.000 0.307
14 Na 0.435 0.806 0.435
15 Na 0.000 0.693 0.307
16 Na 0.565 0.194 0.565
17 Na 0.500 0.000 0.000
18 Na 0.435 0.435 0.806
19 In 0.701 0.701 0.701

Output
Crystal system: trigonal
ΔH_f (0 K) in kJ per mole of atoms: 4.4
Space group: R-3m
Total moment in μB per cell: 0.0
N(E_F) in states/eV per atom: 0.4874
Calculated total energy in eV/atom: -1.5335

***

# 8
The following is a GGA-PBE calculation of crystalline NbB at its relaxed geometry, from Alexandria.

Lattice parameters (Å, degrees): 6.170 6.170 6.170 90.00 90.00 90.00
Fractional positions:
1 B 0.000 0.750 0.500
2 Nb 0.500 0.250 0.000
3 B 0.500 0.000 0.750
4 Nb 0.250 0.000 0.500
5 B 0.000 0.250 0.500
6 Nb 0.750 0.000 0.500
7 Nb 0.000 0.500 0.250
8 B 0.500 0.000 0.250
9 B 0.750 0.500 0.000
10 Nb 0.000 0.500 0.750
11 Nb 0.500 0.750 0.000
12 B 0.250 0.500 0.000

Output
Crystal system: cubic
ΔH_f (0 K) in kJ per mole of atoms: 71.2
Space group: Pm-3n
Total moment in μB per cell: 0.0
N(E_F) in states/eV per atom: 0.3477
Calculated total energy in eV/atom: -7.6353

***

# 9
The following is a GGA-PBE calculation of crystalline AgAu2Se at its relaxed geometry, from Alexandria.

Lattice parameters (Å, degrees): 5.305 5.305 5.305 134.12 134.50 66.60
Fractional positions:
1 Au 0.499 0.499 0.000
2 Se 0.750 0.250 0.500
3 Au 0.001 0.001 0.000
4 Ag 0.250 0.750 0.500

Output
Crystal system: orthorhombic
Space group: Immm
Formation energy from raw total energies in meV/atom: 139
Total moment in μB per cell: 0.0
N(E_F) in states/eV per atom: 0.5828
Calculated total energy in eV/atom: -3.0841

***

# 10
The following is a GGA-PBE calculation of crystalline NpH7Ru2 at its relaxed geometry, from Alexandria.

Lattice parameters (Å, degrees): 3.346 5.278 5.291 119.93 89.97 90.00
Last column: magnetic moment on the atom in μB.
Fractional positions:
1 H 0.500 0.500 0.000  0.00
2 H 0.499 0.968 0.289  -0.01
3 Ru 0.500 0.316 0.633  -0.10
4 H 0.000 0.273 0.544  -0.01
5 H 0.501 0.032 0.711  -0.01
6 H 0.000 0.727 0.456  -0.01
7 Ru 0.500 0.684 0.367  -0.10
8 Np 0.000 0.000 0.000  3.92
9 H 0.500 0.678 0.711  -0.01
10 H 0.500 0.322 0.289  -0.01

Output
Crystal system: orthorhombic
Space group: Cmmm
Total moment in μB per cell: 3.9
N(E_F) in states/eV per atom: 0.9068
Calculated total energy in eV/atom: -5.5180

***

# 11
The following is a GGA-PBE calculation of crystalline AcMgInHg2 at its relaxed geometry, from Alexandria.

Lattice parameters (Å, degrees): 4.625 4.625 7.147 108.88 108.88 90.00
Fractional positions:
1 Ac 0.000 0.000 0.000
2 Mg 0.250 0.750 0.500
3 In 0.750 0.250 0.500
4 Hg 0.388 0.388 0.775
5 Hg 0.612 0.612 0.225

Output
Crystal system: tetragonal
ΔH_f (0 K) in kJ per mole of atoms: -37.0
Space group: I-4m2
Total moment in μB per cell: 0.0
N(E_F) in states/eV per atom: 0.5335
Calculated total energy in eV/atom: -2.1925

***

# 12
The following is a GGA-PBE calculation of crystalline TlNi2Ag at its relaxed geometry, from Alexandria.

Lattice parameters (Å, degrees): 8.343 8.343 8.343 21.05 21.05 21.05
Fractional positions:
1 Ni 0.500 0.500 0.500
2 Ni 0.000 0.000 0.000
3 Ag 0.750 0.750 0.750
4 Tl 0.250 0.250 0.250

Output
Crystal system: trigonal
ΔH_f (0 K) in kJ per mole of atoms: 43.8
Space group: R-3m
Total moment in μB per cell: 0.0
N(E_F) in states/eV per atom: 0.6984
Calculated total energy in eV/atom: -3.7413

***

Question: Which formula does entry 10 have?
Answer: NpH7Ru2

***

Question: What is the formula in the fifth record?
Answer: Os3PdC

***

Question: Among the records above, which one has the lowest N(E_F)?
Answer: Sc2H8Ru3